VASP calculation (PBE-GGA) on crystalline PmNdDy2Y5 at its relaxed geometry.

```
18
Lattice="-6.425 2.578 5.437 3.631 -4.682 6.511 5.567 7.131 -3.928" Properties=species:S:1:pos:R:3 pbc="T T T"
Pm 0.688 1.988 6.997
Pm 2.085 3.040 1.023
Y 5.698 2.735 1.207
Y 3.281 5.317 -1.540
Y 2.826 3.585 4.535
Y -0.053 1.442 3.485
Y -2.925 2.293 6.813
Y -1.397 -1.052 5.974
Y 0.408 6.168 1.789
Y 0.000 0.000 0.000
Y -0.508 -0.290 9.559
Y 2.365 -1.140 6.231
Nd -1.128 4.329 3.741
Nd 3.901 0.699 4.278
Dy -3.443 -0.605 8.817
Dy 0.743 -3.148 7.843
Dy 0.648 -1.498 3.131
Dy -3.537 1.045 4.105
```

Computed properties:
E_form = 0.263 eV per atom
Calculated total energy = -0.3975 Ry per atom
Space group = I4/mcm, No. 140
Fermi-level density of states = 22.64 states/eV/cell